Ca2Sc4P3H2 | GGA-PBE | relaxed

abc: 11.3715 11.3715 11.3715
angles: 158.65 158.65 30.37
With the nearest neighbours (Å) after each atom.
Positions (direct):
Ca1 0.1989 0.1989 0.0000  1 H 2.37
Ca2 0.8011 0.8011 0.0000  1 H 2.37
Sc1 0.0763 0.5763 0.5000  2 H 2.13
Sc2 0.4237 0.9237 0.5000  2 H 2.13
Sc3 0.5763 0.0763 0.5000  2 H 2.13
Sc4 0.9237 0.4237 0.5000  2 H 2.13
P1 0.3354 0.3354 0.0000  4 Sc 2.86, 5 Ca 3.00-3.07
P2 0.5000 0.5000 0.0000  8 Sc 2.69
P3 0.6646 0.6646 0.0000  4 Sc 2.86, 5 Ca 3.00-3.07
H1 0.0910 0.0910 0.0000  4 Sc 2.13, 1 Ca 2.37
H2 0.9090 0.9090 0.0000  4 Sc 2.13, 1 Ca 2.37

Crystal system   tetragonal



CaPHSe2 | GGA-PBE | relaxed

abc: 5.4737 5.4737 3.7774
angles: 90.00 90.00 90.00
With the nearest neighbours (Å) after each atom.
Positions (direct):
Ca1 0.0000 0.0000 0.0000  2 H 1.89
P1 0.5000 0.5000 0.5000  8 Se 3.33
H1 0.0000 0.0000 0.5000  2 Ca 1.89
Se1 0.0000 0.5000 0.0000  2 Ca 2.74
Se2 0.5000 0.0000 0.0000  2 Ca 2.74

Crystal system   tetragonal



SrCaPH | GGA-PBE | relaxed

abc: 4.9514 4.9514 4.9514
angles: 60.00 60.00 60.00
With the nearest neighbours (Å) after each atom.
Positions (direct):
Sr1 0.0000 0.0000 0.0000  4 H 3.03, 4 P 3.03
Ca1 0.5000 0.5000 0.5000  4 P 3.03, 4 H 3.03
P1 0.7500 0.7500 0.7500  4 Ca 3.03, 4 Sr 3.03
H1 0.2500 0.2500 0.2500  4 Ca 3.03, 4 Sr 3.03

Energy above the most stable polymorph in this dataset   128.8 meV per atom
Crystal system   cubic



SrCaPH | GGA-PBE | relaxed

abc: 4.7403 4.7403 9.9363
angles: 90.00 90.00 120.00
With the nearest neighbours (Å) after each atom.
Positions (direct):
Sr1 0.3333 0.6667 0.0000  3 H 2.76
Sr2 0.6667 0.3333 0.5000  3 H 2.76
Ca1 0.0000 0.0000 0.2662  1 H 2.33
Ca2 0.0000 0.0000 0.7662  1 H 2.33
P1 0.3333 0.6667 0.3178  3 Ca 2.78
P2 0.6667 0.3333 0.8178  3 Ca 2.78
H1 0.0000 0.0000 0.0319  1 Ca 2.33
H2 0.0000 0.0000 0.5319  1 Ca 2.33

Energy above the most stable polymorph in this dataset   0.0 meV per atom
Crystal system   hexagonal



SrCaPH2 | GGA-PBE | relaxed

abc: 6.5306 6.5306 7.0080
angles: 90.00 90.00 140.98
With the nearest neighbours (Å) after each atom.
Positions (direct):
Sr1 0.2273 0.7727 0.7500  6 H 2.48-2.61
Sr2 0.7727 0.2273 0.2500  6 H 2.48-2.61
Ca1 0.5000 0.5000 0.0000  2 H 2.26
Ca2 0.5000 0.5000 0.5000  2 H 2.26
P1 0.0459 0.9541 0.2500  4 Ca 2.85
P2 0.9541 0.0459 0.7500  4 Ca 2.85
H1 0.3204 0.6796 0.0635  1 Ca 2.26, 1 Sr 2.48
H2 0.3204 0.6796 0.4365  1 Ca 2.26, 1 Sr 2.48
H3 0.6796 0.3204 0.5635  1 Ca 2.26, 1 Sr 2.48
H4 0.6796 0.3204 0.9365  1 Ca 2.26, 1 Sr 2.48

Crystal system   orthorhombic



CaTe2PH | GGA-PBE | relaxed

abc: 5.3033 5.3033 5.4079
angles: 90.00 90.00 90.00
With the nearest neighbours (Å) after each atom.
Positions (direct):
Ca1 0.0000 0.0000 0.0000  2 P 2.70
Te1 0.0000 0.5000 0.5000  2 P 2.65
Te2 0.5000 0.0000 0.5000  2 P 2.65
P1 0.0000 0.0000 0.5000  4 Te 2.65, 2 Ca 2.70
H1 0.5000 0.5000 0.0000  4 Ca 3.75, 8 Te 3.79

Crystal system   tetragonal



CaPH2W | GGA-PBE | relaxed

abc: 3.6067 3.6067 5.8888
angles: 90.00 90.00 90.00
With the nearest neighbours (Å) after each atom.
Positions (direct):
Ca1 0.0000 0.0000 0.0000  4 H 1.80
P1 0.0000 0.0000 0.5000  4 W 2.55
H1 0.0000 0.5000 0.0000  2 Ca 1.80
H2 0.5000 0.0000 0.0000  2 Ca 1.80
W1 0.5000 0.5000 0.5000  4 P 2.55

Crystal system   tetragonal



Ca3Zn2P2H4 | GGA-PBE | relaxed

abc: 12.0138 12.0138 12.0138
angles: 161.17 161.17 26.75
With the nearest neighbours (Å) after each atom.
Positions (direct):
Ca1 0.0000 0.0000 0.0000  8 H 2.37
Ca2 0.1932 0.1932 0.0000  5 P 2.80-2.95
Ca3 0.8068 0.8068 0.0000  5 P 2.80-2.95
Zn1 0.4189 0.4189 0.0000  4 H 2.05
Zn2 0.5811 0.5811 0.0000  4 H 2.05
P1 0.3195 0.3195 0.0000  1 Zn 2.32
P2 0.6805 0.6805 0.0000  1 Zn 2.32
H1 0.0567 0.5567 0.5000  2 Zn 2.05
H2 0.4433 0.9433 0.5000  2 Zn 2.05
H3 0.5567 0.0567 0.5000  2 Zn 2.05
H4 0.9433 0.4433 0.5000  2 Zn 2.05

Crystal system   tetragonal



CaZn2PH2 | GGA-PBE | relaxed

abc: 5.7741 5.5865 6.0969
angles: 90.00 116.47 90.00
With the nearest neighbours (Å) after each atom.
Positions (direct):
Ca1 0.2481 0.2500 0.0213  2 H 2.29-2.47
Ca2 0.7519 0.7500 0.9787  2 H 2.29-2.47
Zn1 0.2254 0.5080 0.4671  2 H 1.75-1.78
Zn2 0.2254 0.9920 0.4671  2 H 1.75-1.78
Zn3 0.7746 0.0080 0.5329  2 H 1.75-1.78
Zn4 0.7746 0.4920 0.5329  2 H 1.75-1.78
P1 0.1949 0.7500 0.7922  4 Zn 2.47-2.65
P2 0.8051 0.2500 0.2078  4 Zn 2.47-2.65
H1 0.1779 0.7500 0.2607  2 Zn 1.78
H2 0.3992 0.2500 0.4699  2 Zn 1.75
H3 0.6008 0.7500 0.5301  2 Zn 1.75
H4 0.8221 0.2500 0.7393  2 Zn 1.78

Crystal system   monoclinic



CaPaH | GGA-PBE | relaxed

abc: 12.4534 3.3233 3.3233
angles: 60.01 90.00 90.00
With the nearest neighbours (Å) after each atom.
Positions (direct):
Ca1 0.1293 0.0000 0.0000  3 H 2.50-2.51
Ca2 0.8707 0.0000 0.0000  3 H 2.50-2.51
Pa1 0.3760 0.6656 0.6656  3 H 2.46
Pa2 0.6240 0.6656 0.6656  3 H 2.46
H1 0.0000 0.6669 0.6669  6 Ca 2.50-2.51
H2 0.5000 0.9988 0.9988  6 Pa 2.46

Crystal system   orthorhombic



Ca3PaH8 | GGA-PBE | relaxed

abc: 5.3093 5.3093 5.3093
angles: 90.00 90.00 90.00
With the nearest neighbours (Å) after each atom.
Positions (direct):
Ca1 0.0000 0.0000 0.5000  8 H 2.32
Ca2 0.0000 0.5000 0.0000  8 H 2.32
Ca3 0.5000 0.0000 0.0000  8 H 2.32
Pa1 0.5000 0.5000 0.5000  8 H 2.24
H1 0.2564 0.2564 0.2564  1 Pa 2.24, 3 Ca 2.32
H2 0.2564 0.2564 0.7436  1 Pa 2.24, 3 Ca 2.32
H3 0.2564 0.7436 0.2564  1 Pa 2.24, 3 Ca 2.32
H4 0.2564 0.7436 0.7436  1 Pa 2.24, 3 Ca 2.32
H5 0.7436 0.2564 0.2564  1 Pa 2.24, 3 Ca 2.32
H6 0.7436 0.2564 0.7436  1 Pa 2.24, 3 Ca 2.32
H7 0.7436 0.7436 0.2564  1 Pa 2.24, 3 Ca 2.32
H8 0.7436 0.7436 0.7436  1 Pa 2.24, 3 Ca 2.32

Crystal system   cubic



Ca2PaH | GGA-PBE | relaxed

abc: 9.8740 9.8740 9.8740
angles: 19.42 19.42 19.42
With the nearest neighbours (Å) after each atom.
Positions (direct):
Ca1 0.1138 0.1138 0.1138  3 H 2.46
Ca2 0.8862 0.8862 0.8862  3 H 2.46
Pa1 0.0000 0.0000 0.0000  2 Ca 3.31, 6 Pa 3.33
H1 0.5000 0.5000 0.5000  6 Ca 2.46

Crystal system   trigonal



| no. | E (eV per atom) |
| --- | --- |
| 1 | -5.68 |
| 2 | -3.17 |
| 3 | -3.86 |
| 4 | -3.99 |
| 5 | -3.76 |
| 6 | -3.15 |
| 7 | -4.67 |
| 8 | -3.43 |
| 9 | -2.97 |
| 10 | -4.83 |
| 11 | -3.99 |
| 12 | -3.95 |